[1]
Here is an optimized crystal structure of LiEr2In2 from Alexandria. Energies are from PBE-GGA.

Lattice parameters (Å, degrees): 4.8037 6.0068 9.9091 92.63 75.97 66.43
Last column: nearest neighbours and their distance in Å.
Positions (direct):
Li (0.3903, 0.8808, 0.3385)  3 In 2.75-2.80
Li (0.6097, 0.1192, 0.6615)  3 In 2.75-2.80
Er (0.9134, 0.2536, 0.9197)  6 In 3.18-3.41, 1 Er 3.40, 2 Li 3.45
Er (0.3116, 0.7249, 0.6519)  7 In 3.14-3.38, 4 Li 3.23-3.35, 1 Er 3.51
Er (0.0866, 0.7464, 0.0803)  6 In 3.18-3.41, 1 Er 3.40, 2 Li 3.45
Er (0.6884, 0.2751, 0.3481)  7 In 3.14-3.38, 4 Li 3.23-3.35, 1 Er 3.51
In (0.3362, 0.1921, 0.1354)  1 Li 2.80, 1 In 3.08
In (0.9545, 0.6858, 0.4053)  2 Li 2.75, 1 In 2.95
In (0.6638, 0.8079, 0.8646)  1 Li 2.80, 1 In 3.08
In (0.0455, 0.3142, 0.5947)  2 Li 2.75, 1 In 2.95

Summary:
The value obtained for the total moment is 0.00 μB/cell. Its crystal system is monoclinic. The calculation puts the calculated volume at 25.1 Å³/atom. Its symmetry is C2/m. As for the density of states at the Fermi level: 0.65 states/eV/atom. The calculation puts the formation energy from the elements at -0.342 eV per atom.


[2]
Here is an optimized crystal structure of TlIn4Hg8 from Alexandria. Energies are from PBE-GGA.

Lattice parameters (Å, degrees): 3.4007 10.3334 10.8253 82.37 80.96 80.53
Last column: nearest neighbours and their distance in Å.
Positions (direct):
Tl (0.5161, 0.0007, 0.9672)  2 Tl 3.40, 10 Hg 3.41-3.47
In (0.3487, 0.8447, 0.4580)  6 Hg 2.99-3.23
In (0.8454, 0.4781, 0.8312)  6 Hg 3.00-3.18
In (0.1873, 0.5243, 0.1012)  6 Hg 3.01-3.18
In (0.6822, 0.1603, 0.4754)  6 Hg 3.00-3.24
Hg (0.1108, 0.4065, 0.3719)  1 Hg 2.98, 3 In 3.01-3.13
Hg (0.5279, 0.7440, 0.2002)  3 In 3.04-3.09, 4 Hg 3.36-3.40, 1 Tl 3.41
Hg (0.5038, 0.2575, 0.7348)  3 In 3.05-3.09, 4 Hg 3.34-3.40, 1 Tl 3.41
Hg (0.9189, 0.5997, 0.5624)  1 Hg 2.98, 3 In 3.00-3.12
Hg (0.8684, 0.0194, 0.2437)  1 Hg 2.98, 3 In 3.00-3.23
Hg (0.1992, 0.7355, 0.8660)  1 Hg 2.99, 3 In 3.12-3.18
Hg (0.1628, 0.9842, 0.6902)  3 Hg 2.99-3.34, 3 In 2.99-3.24
Hg (0.8329, 0.2671, 0.0671)  1 Hg 2.98, 3 In 3.13-3.18

Summary:
The value obtained for the total moment is 0.00 μB/cell. Its crystal system is monoclinic. The calculation puts the calculated volume at 28.3 Å³/atom. Its symmetry is Cm. As for the density of states at the Fermi level: 0.36 states/eV/atom. The calculation puts the formation energy from the elements at 0.028 eV per atom.


[3]
Here is an optimized crystal structure of TaGa2Rh4 from Alexandria. Energies are from PBE-GGA.

Lattice parameters (Å, degrees): 4.7600 4.7600 7.0331 70.22 70.22 90.00
Last column: nearest neighbours and their distance in Å.
Positions (direct):
Rh (0.1916, 0.1916, 0.6167)  1 Ta 2.37, 1 Ga 2.45
Rh (0.8084, 0.8084, 0.3833)  1 Ta 2.37, 1 Ga 2.45
Rh (0.0000, 0.5000, 0.0000)  2 Ta 2.38
Rh (0.5000, 0.0000, 0.0000)  2 Ta 2.38
Ga (0.3897, 0.3897, 0.2206)  1 Rh 2.45, 1 Ga 2.72
Ga (0.6103, 0.6103, 0.7794)  1 Rh 2.45, 1 Ga 2.72
Ta (0.0000, 0.0000, 0.0000)  6 Rh 2.37-2.38

Summary:
The value obtained for the total moment is 0.00 μB/cell. Its crystal system is tetragonal. The calculation puts the calculated volume at 20.0 Å³/atom. Its symmetry is I4/mmm. As for the density of states at the Fermi level: 0.50 states/eV/atom. The calculation puts the formation energy from the elements at 0.493 eV per atom.


[4]
Here is an optimized crystal structure of Ba3Sr3Ac from Alexandria. Energies are from PBE-GGA.

Lattice parameters (Å, degrees): 6.7489 6.7782 17.2855 101.32 90.00 90.00
Last column: nearest neighbours and their distance in Å.
Positions (direct):
Ba (0.2500, 0.5346, 0.5691)  2 Ac 4.08-4.09, 4 Ba 4.11, 2 Sr 4.13
Ba (0.7500, 0.4654, 0.4309)  2 Ac 4.08-4.09, 4 Ba 4.11, 2 Sr 4.13
Ba (0.2500, 0.1031, 0.7062)  4 Ba 4.11-4.20, 2 Ac 4.13, 2 Sr 4.24
Ba (0.7500, 0.8969, 0.2938)  4 Ba 4.11-4.20, 2 Ac 4.13, 2 Sr 4.24
Ba (0.2500, 0.8243, 0.1467)  6 Sr 4.17-4.20, 2 Ba 4.20
Ba (0.7500, 0.1757, 0.8533)  6 Sr 4.17-4.20, 2 Ba 4.20
Sr (0.2500, 0.3958, 0.2901)  4 Ba 4.13-4.17, 2 Ac 4.18, 2 Sr 4.19
Sr (0.7500, 0.6042, 0.7099)  4 Ba 4.13-4.17, 2 Ac 4.18, 2 Sr 4.19
Sr (0.2500, 0.6787, 0.8568)  6 Sr 4.15-4.19, 2 Ba 4.24
Sr (0.7500, 0.3213, 0.1432)  6 Sr 4.15-4.19, 2 Ba 4.24
Sr (0.2500, 0.2510, 0.0004)  4 Sr 4.15-4.17, 4 Ba 4.20
Sr (0.7500, 0.7490, 0.9996)  4 Sr 4.15-4.17, 4 Ba 4.20
Ac (0.2500, 0.9677, 0.4346)  2 Ac 4.04, 4 Ba 4.08-4.13, 2 Sr 4.18
Ac (0.7500, 0.0323, 0.5654)  2 Ac 4.04, 4 Ba 4.08-4.13, 2 Sr 4.18

Summary:
The value obtained for the total moment is 0.00 μB/cell. Its crystal system is monoclinic. The calculation puts the calculated volume at 55.4 Å³/atom. Its symmetry is P2_1/m. As for the density of states at the Fermi level: 1.21 states/eV/atom. The calculation puts the formation energy from the elements at 0.031 eV per atom.


[5]
Here is an optimized crystal structure of MgCrPOs2 from Alexandria. Energies are from PBE-GGA.

Lattice parameters (Å, degrees): 4.3651 4.5867 4.3651 90.00 90.00 90.00
Last column: nearest neighbours and their distance in Å.
Positions (direct):
Cr (0.5000, 0.5000, 0.5000)  4 Mg 3.09, 8 Os 3.17
Mg (0.0000, 0.5000, 0.0000)  2 P 2.29
Os (0.0000, 0.0000, 0.5000)  2 P 2.18
Os (0.5000, 0.0000, 0.0000)  2 P 2.18
P (0.0000, 0.0000, 0.0000)  4 Os 2.18, 2 Mg 2.29

Summary:
The value obtained for the total moment is 3.74 μB/cell. Its crystal system is tetragonal. The calculation puts the calculated volume at 17.5 Å³/atom. Its symmetry is P4/mmm. As for the density of states at the Fermi level: 0.44 states/eV/atom. The calculation puts the formation energy from the elements at 0.705 eV per atom.


[6]
Here is an optimized crystal structure of Y2Si2Os from Alexandria. Energies are from PBE-GGA.

Lattice parameters (Å, degrees): 3.4743 3.4743 8.8762 78.71 78.71 90.00
Last column: nearest neighbours and their distance in Å.
Positions (direct):
Y (0.4019, 0.4019, 0.1962)  4 Os 2.97, 4 Si 3.12
Y (0.5981, 0.5981, 0.8038)  4 Os 2.97, 4 Si 3.12
Si (0.7500, 0.2500, 0.5000)  4 Si 2.46
Si (0.2500, 0.7500, 0.5000)  4 Si 2.46
Os (0.0000, 0.0000, 0.0000)  8 Y 2.97

Summary:
The value obtained for the total moment is 0.00 μB/cell. Its crystal system is tetragonal. The calculation puts the calculated volume at 20.6 Å³/atom. Its symmetry is I4/mmm. As for the density of states at the Fermi level: 0.65 states/eV/atom. Its formation energy (no corrections) is -0.176 eV per atom.


[7]
Here is an optimized crystal structure of SbSeCl2 from Alexandria. Energies are from PBE-GGA.

Lattice parameters (Å, degrees): 7.6428 7.6428 4.9795 74.83 74.83 27.32
Last column: nearest neighbours and their distance in Å.
Positions (direct):
Sb (0.2500, 0.2500, 0.2500)  4 Cl 2.78, 4 Se 3.07
Se (0.7500, 0.7500, 0.7500)  4 Sb 3.07, 4 Cl 3.10-3.42
Cl (0.8969, 0.8969, 0.0905)  2 Sb 2.78, 1 Se 3.10
Cl (0.6031, 0.6031, 0.4095)  2 Sb 2.78, 1 Se 3.10

Summary:
The value obtained for the total moment is 1.05 μB/cell. Its crystal system is monoclinic. The calculation puts the calculated volume at 32.1 Å³/atom. Its symmetry is C2/m. As for the density of states at the Fermi level: 0.46 states/eV/atom. Its formation energy (no corrections) is -0.178 eV per atom.


[8]
Here is an optimized crystal structure of TaNb3O from Alexandria. Energies are from PBE-GGA.

Lattice parameters (Å, degrees): 4.3119 4.3119 4.3119 90.00 90.00 90.00
Last column: nearest neighbours and their distance in Å.
Positions (direct):
Nb (0.0000, 0.5000, 0.0000)  2 O 2.16
Nb (0.0000, 0.0000, 0.5000)  2 O 2.16
Nb (0.5000, 0.0000, 0.0000)  2 O 2.16
O (0.0000, 0.0000, 0.0000)  6 Nb 2.16
Ta (0.5000, 0.5000, 0.5000)  12 Nb 3.05

Summary:
The value obtained for the total moment is 0.00 μB/cell. Its crystal system is cubic. The calculation puts the calculated volume at 16.0 Å³/atom. Its symmetry is Pm-3m. As for the density of states at the Fermi level: 1.12 states/eV/atom. Its formation energy (no corrections) is -0.585 eV per atom.


[9]
Here is an optimized crystal structure of NaHgCl from Alexandria. Energies are from PBE-GGA.

Lattice parameters (Å, degrees): 4.4535 4.4535 6.0786 90.00 90.00 120.00
Last column: nearest neighbours and their distance in Å.
Positions (direct):
Na (0.6667, 0.3333, 0.4511)  3 Cl 2.63
Hg (0.0000, 0.0000, 0.0061)  3 Na 3.73, 6 Cl 3.81-4.15
Cl (0.3333, 0.6667, 0.5428)  3 Na 2.63

Summary:
The value obtained for the total moment is 0.00 μB/cell. Its crystal system is trigonal. The calculation puts the calculated volume at 34.8 Å³/atom. Its symmetry is P3m1. As for the density of states at the Fermi level: 0.00 states/eV/atom. Its formation energy (no corrections) is -1.042 eV per atom.


[10]
Here is an optimized crystal structure of TiPd2Pb2 from Alexandria. Energies are from PBE-GGA.

Lattice parameters (Å, degrees): 6.9268 6.9268 4.3871 90.00 90.00 90.00
Last column: nearest neighbours and their distance in Å.
Positions (direct):
Pb (0.1765, 0.6765, 0.5000)  6 Pd 2.85-3.10
Pb (0.6765, 0.8235, 0.5000)  6 Pd 2.85-3.10
Pb (0.8235, 0.3235, 0.5000)  6 Pd 2.85-3.10
Pb (0.3235, 0.1765, 0.5000)  6 Pd 2.85-3.10
Pd (0.3618, 0.8618, 0.0000)  2 Ti 2.68, 1 Pd 2.71, 2 Pb 2.85
Pd (0.8618, 0.6382, 0.0000)  2 Ti 2.68, 1 Pd 2.71, 2 Pb 2.85
Pd (0.6382, 0.1382, 0.0000)  2 Ti 2.68, 1 Pd 2.71, 2 Pb 2.85
Pd (0.1382, 0.3618, 0.0000)  2 Ti 2.68, 1 Pd 2.71, 2 Pb 2.85
Ti (0.0000, 0.0000, 0.0000)  4 Pd 2.68
Ti (0.5000, 0.5000, 0.0000)  4 Pd 2.68

Summary:
The value obtained for the total moment is 1.13 μB/cell. Its crystal system is tetragonal. The calculation puts the calculated volume at 21.0 Å³/atom. Its symmetry is P4/mbm. As for the density of states at the Fermi level: 1.00 states/eV/atom. The calculation puts the formation energy from the elements at -0.076 eV per atom.


[11]
Here is an optimized crystal structure of ZrHgBPt2 from Alexandria. Energies are from PBE-GGA.

Lattice parameters (Å, degrees): 5.0809 5.0809 3.9748 90.00 90.00 90.00
Last column: nearest neighbours and their distance in Å.
Positions (direct):
Zr (0.5000, 0.5000, 0.5000)  8 Pt 3.23, 4 B 3.59
B (0.0000, 0.0000, 0.5000)  2 Hg 1.99
Hg (0.0000, 0.0000, 0.0000)  2 B 1.99
Pt (0.0000, 0.5000, 0.0000)  2 Hg 2.54
Pt (0.5000, 0.0000, 0.0000)  2 Hg 2.54

Summary:
The value obtained for the total moment is 0.00 μB/cell. Its crystal system is tetragonal. The calculation puts the calculated volume at 20.5 Å³/atom. Its symmetry is P4/mmm. As for the density of states at the Fermi level: 0.73 states/eV/atom. The calculation puts the formation energy from the elements at 1.004 eV per atom.


[12]
Here is an optimized crystal structure of La3Ho12Er from Alexandria. Energies are from PBE-GGA.

Lattice parameters (Å, degrees): 5.0449 5.0449 20.2055 90.00 90.00 90.00
Last column: nearest neighbours and their distance in Å.
Positions (direct):
La (0.0000, 0.0000, 0.2495)  12 Ho 3.56-3.61
La (0.0000, 0.0000, 0.5000)  12 Ho 3.57-3.58
La (0.0000, 0.0000, 0.7505)  12 Ho 3.56-3.61
Ho (0.5000, 0.5000, 0.0000)  8 Ho 3.52, 4 Er 3.57
Ho (0.5000, 0.5000, 0.2475)  4 La 3.57, 8 Ho 3.58-3.59
Ho (0.5000, 0.5000, 0.5000)  4 La 3.57, 8 Ho 3.58
Ho (0.5000, 0.5000, 0.7525)  4 La 3.57, 8 Ho 3.58-3.59
Ho (0.5000, 0.0000, 0.1215)  8 Ho 3.52-3.58, 2 Er 3.52, 2 La 3.61
Ho (0.5000, 0.0000, 0.3741)  4 La 3.56-3.58, 8 Ho 3.57-3.59
Ho (0.5000, 0.0000, 0.6259)  4 La 3.56-3.58, 8 Ho 3.57-3.59
Ho (0.5000, 0.0000, 0.8785)  2 Er 3.52, 8 Ho 3.52-3.58, 2 La 3.61
Ho (0.0000, 0.5000, 0.1215)  8 Ho 3.52-3.58, 2 Er 3.52, 2 La 3.61
Ho (0.0000, 0.5000, 0.3741)  4 La 3.56-3.58, 8 Ho 3.57-3.59
Ho (0.0000, 0.5000, 0.6259)  4 La 3.56-3.58, 8 Ho 3.57-3.59
Ho (0.0000, 0.5000, 0.8785)  8 Ho 3.52-3.58, 2 Er 3.52, 2 La 3.61
Er (0.0000, 0.0000, 0.0000)  12 Ho 3.52-3.57

Summary:
The value obtained for the total moment is 0.00 μB/cell. Its crystal system is tetragonal. The calculation puts the calculated volume at 32.1 Å³/atom. Its symmetry is P4/mmm. As for the density of states at the Fermi level: 1.53 states/eV/atom. The calculation puts the formation energy from the elements at 0.032 eV per atom.


[13]
Here is an optimized crystal structure of Be3FeC from Alexandria. Energies are from PBE-GGA.

Lattice parameters (Å, degrees): 3.5287 3.5287 3.5287 90.00 90.00 90.00
Last column: nearest neighbours and their distance in Å.
Positions (direct):
Be (0.0000, 0.5000, 0.0000)  2 C 1.76
Be (0.0000, 0.0000, 0.5000)  2 C 1.76
Be (0.5000, 0.0000, 0.0000)  2 C 1.76
C (0.0000, 0.0000, 0.0000)  6 Be 1.76
Fe (0.5000, 0.5000, 0.5000)  12 Be 2.50

Summary:
The value obtained for the total moment is 2.29 μB/cell. Its crystal system is cubic. The calculation puts the calculated volume at 8.8 Å³/atom. Its symmetry is Pm-3m. As for the density of states at the Fermi level: 0.52 states/eV/atom. The calculation puts the formation energy from the elements at 0.432 eV per atom.